(1)
Below is Li2Sn2Pt5 after structural relaxation, with properties calculated at the GGA-PBE level.

Lattice parameters (Å, degrees): 8.827 8.827 8.827 61.43 133.15 142.59
Atoms (fractional coordinates):
1 Li 0.072 0.068 0.140
2 Li 0.072 0.432 0.505
3 Li 0.928 0.568 0.495
4 Li 0.928 0.932 0.860
5 Sn 0.339 0.711 0.128
6 Sn 0.481 0.481 0.000
7 Sn 0.481 0.981 0.500
8 Sn 0.583 0.211 0.872
9 Pt 0.016 0.773 0.743
10 Pt 0.030 0.273 0.257
11 Pt 0.475 0.299 0.492
12 Pt 0.475 0.483 0.676
13 Pt 0.495 0.140 0.160
14 Pt 0.495 0.836 0.856
15 Pt 0.808 0.799 0.324
16 Pt 0.808 0.983 0.508
17 Pt 0.980 0.336 0.840
18 Pt 0.980 0.640 0.144

- volume (A^3/atom) = 16.8
- magnetization (μB/f.u.) = 0.00
- formation energy from the elements (kJ/mol of atoms) = -37
- density (g/cm³) = 13.51

=====

(2)
Below is RbLiAl2Br8 after structural relaxation, with properties calculated at the GGA-PBE level.

Lattice parameters (Å, degrees): 6.874 6.874 9.930 90.00 90.00 120.00
Atoms (fractional coordinates):
1 Rb 0.000 0.000 0.000
2 Li 0.000 0.000 0.500
3 Al 0.333 0.667 0.742
4 Al 0.667 0.333 0.258
5 Br 0.019 0.333 0.673
6 Br 0.314 0.981 0.673
7 Br 0.333 0.314 0.327
8 Br 0.333 0.667 0.977
9 Br 0.667 0.333 0.023
10 Br 0.667 0.686 0.673
11 Br 0.686 0.019 0.327
12 Br 0.981 0.667 0.327

- volume (A^3/atom) = 33.9
- ΔE_f (raw) (eV per atom) = -1.3265
- magnetization (μB/f.u.) = 0.00
- density (g/cm³) = 3.21

=====

(3)
Below is SrFe2W after structural relaxation, with properties calculated at the GGA-PBE level.

Lattice parameters (Å, degrees): 4.504 4.504 4.504 60.00 60.00 60.00
Atoms (fractional coordinates):
1 Sr 0.000 0.000 0.000
2 Fe 0.250 0.250 0.250
3 Fe 0.750 0.750 0.750
4 W 0.500 0.500 0.500

- volume (A^3/atom) = 16.1
- magnetization (μB/f.u.) = 0.00
- formation energy from the elements (kJ/mol of atoms) = 102
- density (g/cm³) = 9.85

=====

(4)
Below is Ca2TlCo2 after structural relaxation, with properties calculated at the GGA-PBE level.

Lattice parameters (Å, degrees): 6.825 6.825 4.486 90.00 90.00 90.00
Atoms (fractional coordinates):
1 Ca 0.175 0.325 0.000
2 Ca 0.325 0.825 0.000
3 Ca 0.675 0.175 0.000
4 Ca 0.825 0.675 0.000
5 Tl 0.000 0.000 0.500
6 Tl 0.500 0.500 0.500
7 Co 0.116 0.616 0.500
8 Co 0.384 0.116 0.500
9 Co 0.616 0.884 0.500
10 Co 0.884 0.384 0.500

- volume (A^3/atom) = 20.9
- magnetization (μB/f.u.) = 0.00
- formation energy from the elements (kJ/mol of atoms) = 10
- density (g/cm³) = 6.40

=====

(5)
Below is Hf5Ni2Rh after structural relaxation, with properties calculated at the GGA-PBE level.

Lattice parameters (Å, degrees): 7.577 7.577 7.577 123.30 123.30 84.38
Atoms (fractional coordinates):
1 Hf 0.000 0.000 0.000
2 Hf 0.010 0.510 0.811
3 Hf 0.198 0.010 0.500
4 Hf 0.302 0.802 0.811
5 Hf 0.490 0.302 0.500
6 Hf 0.500 0.500 0.000
7 Hf 0.510 0.698 0.500
8 Hf 0.698 0.198 0.189
9 Hf 0.802 0.990 0.500
10 Hf 0.990 0.490 0.189
11 Ni 0.128 0.372 0.500
12 Ni 0.372 0.872 0.245
13 Ni 0.628 0.128 0.755
14 Ni 0.872 0.628 0.500
15 Rh 0.250 0.250 0.000
16 Rh 0.750 0.750 0.000

- volume (A^3/atom) = 18.2
- magnetization (μB/f.u.) = 0.00
- formation energy from the elements (kJ/mol of atoms) = -39
- density (g/cm³) = 12.71

=====

(6)
Below is Rb2TiCuI6 after structural relaxation, with properties calculated at the GGA-PBE level.

Lattice parameters (Å, degrees): 8.108 8.108 8.108 120.09 120.09 89.84
Atoms (fractional coordinates):
1 Rb 0.250 0.750 0.500
2 Rb 0.750 0.250 0.500
3 Ti 0.000 0.000 0.000
4 Cu 0.500 0.500 0.000
5 I 0.248 0.248 0.000
6 I 0.249 0.249 0.497
7 I 0.249 0.751 0.000
8 I 0.751 0.249 0.000
9 I 0.751 0.751 0.503
10 I 0.752 0.752 0.000

- volume (A^3/atom) = 37.6
- ΔE_f (raw) (eV per atom) = -0.8302
- magnetization (μB/f.u.) = 1.00
- density (g/cm³) = 4.61

=====

In eV/atom, the E_tot values for the records above are, in order, -5.06; -3.31; -6.83; -4.01; -8.99; -3.15.